First-principles (GGA-PBE) data for a relaxed structure of PmEr4Mg2, as listed in Alexandria.

Results
Its space-group type is I4/mmm. The value obtained for the volume is 34.41 A^3/atom. For the energy above the lowest structure with this stoichiometry, the calculation gives 702 meV per atom. The calculation puts the energy of formation at 0.702 eV per atom.

a = 5.4916 Å, b = 5.4916 Å, c = 8.8810 Å
α = 108.01°, β = 108.01°, γ = 90.00°
Last column: nearest neighbours and their distance in Å.
Atoms (fractional coordinates):
Er 0.0000 0.5000 0.0000  2 Pm 2.75
Mg 0.6131 0.6131 0.2262  5 Er 3.20-3.29
Er 0.1864 0.1864 0.3729  1 Pm 2.98, 1 Mg 3.20
Er 0.5000 0.0000 0.0000  2 Pm 2.75
Mg 0.3869 0.3869 0.7738  5 Er 3.20-3.29
Er 0.8136 0.8136 0.6271  1 Pm 2.98, 1 Mg 3.20
Pm 0.0000 0.0000 0.0000  6 Er 2.75-2.98